No. 1
The following is a PBE calculation of a geometry-optimized AcAl2Si structure, from Alexandria.

Results
**Symmetry**: No. 123
**E_form (uncorrected)**: -6.1 kJ/mol of atoms
**ΔE to the lowest computed polymorph**: 310 meV per atom
**Spin magnetization**: 0.00 μB/cell

```
AcAl2Si
1.0
3.586 0.000 0.000
0.000 3.586 0.000
0.000 0.000 7.079
Ac Al Si
1 2 1
Direct
0.000 0.000 0.000 Ac
0.500 0.500 0.320 Al
0.500 0.500 0.680 Al
0.000 0.000 0.500 Si
```

---

No. 2
The following is a PBE calculation of a geometry-optimized Ac3Al2Si3 structure, from Alexandria.

Results
**Symmetry**: No. 63
**E_form (uncorrected)**: -49.0 kJ/mol of atoms
**ΔE to the lowest computed polymorph**: 0 meV per atom
**Spin magnetization**: 0.00 μB/cell

```
Ac3Al2Si3
1.0
2.175 -5.940 0.000
2.175 5.940 0.000
0.000 0.000 16.241
Ac Al Si
6 4 6
Direct
0.033 0.967 0.750 Ac
0.343 0.657 0.591 Ac
0.343 0.657 0.909 Ac
0.657 0.343 0.091 Ac
0.657 0.343 0.409 Ac
0.967 0.033 0.250 Ac
0.367 0.633 0.118 Al
0.367 0.633 0.382 Al
0.633 0.367 0.618 Al
0.633 0.367 0.882 Al
0.064 0.936 0.556 Si
0.064 0.936 0.944 Si
0.247 0.753 0.250 Si
0.753 0.247 0.750 Si
0.936 0.064 0.056 Si
0.936 0.064 0.444 Si
```

---

No. 3
The following is a PBE calculation of a geometry-optimized AcAl2Si2 structure, from Alexandria.

Results
**Symmetry**: No. 139
**E_form (uncorrected)**: -33.0 kJ/mol of atoms
**Spin magnetization**: 0.00 μB/cell

```
AcAl2Si2
1.0
-2.119 2.119 5.746
2.119 -2.119 5.746
2.119 2.119 -5.746
Ac Al Si
1 2 2
Direct
0.000 0.000 0.000 Ac
0.250 0.750 0.500 Al
0.750 0.250 0.500 Al
0.378 0.378 0.000 Si
0.622 0.622 0.000 Si
```

---

No. 4
The following is a PBE calculation of a geometry-optimized AcAlSi2 structure, from Alexandria.

Results
**Symmetry**: No. 62
**E_form (uncorrected)**: -34.0 kJ/mol of atoms
**ΔE to the lowest computed polymorph**: 0 meV per atom
**Spin magnetization**: 0.00 μB/cell

```
AcAlSi2
1.0
7.292 0.000 0.000
0.000 4.520 0.000
0.000 0.000 10.826
Ac Al Si
4 4 8
Direct
0.150 0.250 0.131 Ac
0.350 0.750 0.631 Ac
0.650 0.250 0.369 Ac
0.850 0.750 0.869 Ac
0.004 0.750 0.381 Al
0.496 0.250 0.881 Al
0.504 0.750 0.119 Al
0.996 0.250 0.619 Al
0.162 0.250 0.827 Si
0.195 0.250 0.419 Si
0.305 0.750 0.919 Si
0.338 0.750 0.327 Si
0.662 0.250 0.673 Si
0.695 0.250 0.081 Si
0.805 0.750 0.581 Si
0.838 0.750 0.173 Si
```

---

No. 5
The following is a PBE calculation of a geometry-optimized Ac4AlSi3 structure, from Alexandria.

Results
**Symmetry**: No. 25
**E_form (uncorrected)**: -51.3 kJ/mol of atoms
**Spin magnetization**: 0.00 μB/cell

```
Ac4AlSi3
1.0
4.168 0.000 0.000
0.000 4.758 0.000
0.000 0.000 11.845
Ac Al Si
4 1 3
Direct
0.000 0.000 0.000 Ac
0.000 0.500 0.491 Ac
0.500 0.000 0.708 Ac
0.500 0.500 0.213 Ac
0.000 0.500 0.792 Al
0.000 0.000 0.289 Si
0.500 0.000 0.415 Si
0.500 0.500 0.922 Si
```

---

No. 6
The following is a PBE calculation of a geometry-optimized Ac4Al3Si5 structure, from Alexandria.

Results
**Symmetry**: No. 12
**E_form (uncorrected)**: -28.1 kJ/mol of atoms
**Spin magnetization**: 0.00 μB/cell

```
Ac4Al3Si5
1.0
7.343 -2.358 0.000
7.343 2.358 0.000
-3.648 0.000 9.230
Ac Al Si
4 3 5
Direct
0.054 0.054 0.345 Ac
0.256 0.256 0.789 Ac
0.744 0.744 0.211 Ac
0.946 0.946 0.655 Ac
0.000 0.000 0.000 Al
0.381 0.381 0.131 Al
0.619 0.619 0.869 Al
0.283 0.283 0.477 Si
0.418 0.418 0.400 Si
0.500 0.500 0.000 Si
0.582 0.582 0.600 Si
0.717 0.717 0.523 Si
```